[1]
This record from the Alexandria database describes an optimized crystal structure of Pm2VMoO8. The functional is GGA+U.

The value obtained for the energy is -0.2810 hartree per atom.

It has space group P-1 (No. 2), with a = 4.866 Å, b = 4.908 Å, c = 6.652 Å, α = 90.11°, β = 90.17° and γ = 92.88°. The asymmetric unit holds Pm at (0.062, 0.055, 0.255), V at (0.500, 0.500, 0.500), Mo at (0.500, 0.500, 0.000), O at (0.220, 0.225, 0.961), O at (0.231, 0.237, 0.543), O at (0.296, 0.640, 0.259) and O at (0.362, 0.709, 0.741).

---

[2]
This record from the Alexandria database describes an optimized crystal structure of PmYMo2O8. The functional is GGA+U.

The value obtained for the energy is -0.2887 hartree per atom.

It has space group I-4 (No. 82), with a = 5.305 Å, b = 5.305 Å, c = 11.237 Å, α = 90.00°, β = 90.00° and γ = 90.00°. The asymmetric unit holds Pm at (0.000, 0.000, 0.000), Y at (0.000, 0.500, 0.750), Mo at (0.000, 0.000, 0.500), Mo at (0.000, 0.500, 0.250), O at (0.172, 0.232, 0.588) and O at (0.186, 0.763, 0.160).

---

[3]
This record from the Alexandria database describes an optimized crystal structure of PmYMoO6. The functional is GGA+U.

The value obtained for the energy is -0.2935 hartree per atom.

It has space group P312 (No. 149), with a = 5.5398 Å, b = 5.5398 Å, c = 4.9362 Å, α = 90.00°, β = 90.00° and γ = 120.00°. The asymmetric unit holds Pm at (0.0000, 0.0000, 0.0000), Y at (0.3333, 0.6667, 0.5000), Mo at (0.6667, 0.3333, 0.5000) and O at (0.3734, 0.0408, 0.7219).

---

[4]
This record from the Alexandria database describes an optimized crystal structure of PmY2MoO8. The functional is GGA+U.

The value obtained for the energy is -0.2942 hartree per atom.

It has space group Cmmm (No. 65), with a = 7.140 Å, b = 7.203 Å, c = 6.925 Å, α = 90.00°, β = 90.00° and γ = 90.00°. The asymmetric unit holds Pm at (0.000, 0.000, 0.000), Y at (0.000, 0.500, 0.256), Mo at (0.000, 0.000, 0.500), O at (0.000, 0.184, 0.293), O at (0.186, 0.500, 0.000) and O at (0.225, 0.500, 0.500).

---

[5]
This record from the Alexandria database describes an optimized crystal structure of PmZnMo2O8. The functional is GGA+U.

The value obtained for the energy is -0.2543 hartree per atom.

It has space group I-4 (No. 82), with a = 5.172 Å, b = 5.172 Å, c = 11.334 Å, α = 90.00°, β = 90.00° and γ = 90.00°. The asymmetric unit holds Pm at (0.000, 0.000, 0.000), Zn at (0.000, 0.500, 0.250), Mo at (0.000, 0.000, 0.500), Mo at (0.000, 0.500, 0.750), O at (0.175, 0.238, 0.415) and O at (0.188, 0.761, 0.831).

---

[6]
This record from the Alexandria database describes an optimized crystal structure of Pm2ZnMoO6. The functional is GGA+U.

The value obtained for the energy is -0.2659 hartree per atom.

It has space group C2/m (No. 12), with a = 9.929 Å, b = 5.547 Å, c = 5.664 Å, α = 90.00°, β = 123.71° and γ = 90.00°. The asymmetric unit holds Pm at (0.248, 0.000, 0.222), Zn at (0.000, 0.500, 0.000), Mo at (0.000, 0.000, 0.500), O at (0.071, 0.248, 0.822) and O at (0.238, 0.000, 0.621).